Entry 1:
LiLaTc2: relaxed, GGA-PBE.

## Properties
M_tot = 0.771 μB per cell
SG = No. 166
DOS(E_F) = 5.39 states/eV/cell
Polymorph energy (0 for the lowest one) = 665.9 meV/atom
VASP energy = -24.4 eV per cell

Unit cell a=10.3705 b=10.3705 c=10.3705 alpha=15.78 beta=15.78 gamma=15.78
Element x y z (fractional)
La 0.2500 0.2500 0.2500
Li 0.7500 0.7500 0.7500
Tc 0.0076 0.0076 0.0076
Tc 0.4924 0.4924 0.4924

---

Entry 2:
LiLa2Tc: relaxed, GGA-PBE.

## Properties
M_tot = 0.000 μB per cell
SG = No. 65
DOS(E_F) = 2.15 states/eV/cell
VASP energy = -21.9 eV per cell

Unit cell a=3.5575 b=3.5575 c=8.5673 alpha=90.00 beta=90.00 gamma=90.30
Element x y z (fractional)
Li 0.5000 0.5000 0.2500
Tc 0.5000 0.5000 0.7500
La 0.0000 0.0000 0.9515
La 0.0000 0.0000 0.5485

---

Entry 3:
Li2LaTc2: relaxed, GGA-PBE.

## Properties
M_tot = 0.000 μB per cell
SG = No. 139
DOS(E_F) = 2.82 states/eV/cell
Polymorph energy (0 for the lowest one) = 0.0 meV/atom
VASP energy = -27.6 eV per cell

Unit cell a=3.6704 b=3.6704 c=7.0427 alpha=74.90 beta=74.90 gamma=90.00
Element x y z (fractional)
Li 0.3911 0.3911 0.2179
Li 0.6089 0.6089 0.7821
Tc 0.7500 0.2500 0.5000
Tc 0.2500 0.7500 0.5000
La 0.0000 0.0000 0.0000

---

Summary of energy relative to the elements in meV/atom
784, 50, 383
(order as listed above)